(1)
Computed, not measured: a relaxed LuSeF crystal at the PBE level of DFT.

abc: 4.014 4.014 17.540
angles: 90.00 90.00 120.00
Atoms (fractional coordinates):
Lu (0.333, 0.667, 0.250)
Lu (0.667, 0.333, 0.750)
Lu (0.000, 0.000, 0.000)
Lu (0.000, 0.000, 0.500)
Se (0.333, 0.667, 0.089)
Se (0.667, 0.333, 0.911)
Se (0.667, 0.333, 0.589)
Se (0.333, 0.667, 0.411)
F (0.333, 0.667, 0.750)
F (0.667, 0.333, 0.250)
F (0.000, 0.000, 0.250)
F (0.000, 0.000, 0.750)

## Properties
- Formation energy from raw total energies: -2.83 eV/atom

(2)
Computed, not measured: a relaxed PmHf2Os crystal at the PBE level of DFT.

abc: 3.286 3.286 8.183
angles: 90.00 90.00 90.00
Atoms (fractional coordinates):
Hf (0.000, 0.000, 0.808)
Hf (0.000, 0.000, 0.192)
Os (0.500, 0.500, 0.000)
Pm (0.500, 0.500, 0.500)

## Properties
- Energy of formation: -0.732 eV per formula unit

(3)
Computed, not measured: a relaxed TlAs2H2O6 crystal at the PBE level of DFT.

abc: 5.601 6.673 6.315
angles: 104.67 103.98 46.80
Atoms (fractional coordinates):
Tl (0.500, 0.000, 0.500)
As (0.785, 0.445, 0.955)
As (0.215, 0.555, 0.045)
H (0.093, 0.983, 0.794)
H (0.907, 0.017, 0.206)
O (0.330, 0.675, 0.874)
O (0.150, 0.356, 0.151)
O (0.951, 0.167, 0.735)
O (0.850, 0.644, 0.849)
O (0.049, 0.833, 0.265)
O (0.670, 0.325, 0.126)

## Properties
- Uncorrected energy: -5.3680 eV/atom

(4)
Computed, not measured: a relaxed CeHN crystal at the PBE level of DFT.

abc: 3.843 3.843 3.843
angles: 60.00 60.00 60.00
Atoms (fractional coordinates):
H (0.500, 0.500, 0.500)
Ce (0.250, 0.250, 0.250)
N (0.000, 0.000, 0.000)

## Properties
- Uncorrected energy: -6.9268 eV/atom

(5)
Computed, not measured: a relaxed NiTeW crystal at the PBE level of DFT.

abc: 3.155 3.155 6.068
angles: 90.00 90.00 120.00
Atoms (fractional coordinates):
Ni (0.000, 0.000, 0.984)
Te (0.333, 0.667, 0.336)
W (0.667, 0.333, 0.680)

## Properties
- Formation energy from raw total energies: 0.59 eV/atom

(6)
Computed, not measured: a relaxed Tc3PbS crystal at the PBE level of DFT.

abc: 5.182 5.182 5.182
angles: 90.00 90.00 90.00
Atoms (fractional coordinates):
Pb (0.000, 0.000, 0.000)
S (0.500, 0.500, 0.500)
Tc (0.000, 0.500, 0.000)
Tc (0.000, 0.000, 0.500)
Tc (0.500, 0.000, 0.000)

## Properties
- Formation energy from raw total energies: 2.59 eV/atom